No. 1
## HoEr3Sc2S6 (PBE-GGA)

Data for a relaxed structure of HoEr3Sc2S6.

Summary:
SG: No. 12
Total DFT energy (no corrections), eV per atom: -6.57
Formation energy (no corrections), eV/atom: -1.9242

a b c (Å): 6.6100 6.6100 6.6050
angles (deg): 99.57 99.57 120.19
Closest atoms and distances in Å follow each position.
Fractional positions:
Ho1 0.0000 0.0000 0.0000  6 S 2.71-2.72
Er1 0.1637 0.8363 0.5000  6 S 2.70-2.74
Er2 0.5000 0.5000 0.5000  6 S 2.68-2.74
Er3 0.8363 0.1637 0.5000  6 S 2.70-2.74
Sc1 0.3336 0.6664 0.0000  6 S 2.64-2.66
Sc2 0.6664 0.3336 0.0000  6 S 2.64-2.66
S1 0.0812 0.4225 0.2435  2 Sc 2.65-2.66, 3 Er 2.70-2.74, 1 Ho 2.72
S2 0.2614 0.2614 0.7594  2 Sc 2.64, 3 Er 2.68-2.73, 1 Ho 2.71
S3 0.4225 0.0812 0.2435  2 Sc 2.65-2.66, 3 Er 2.70-2.74, 1 Ho 2.72
S4 0.5775 0.9188 0.7565  2 Sc 2.65-2.66, 3 Er 2.70-2.74, 1 Ho 2.72
S5 0.7386 0.7386 0.2406  2 Sc 2.64, 3 Er 2.68-2.73, 1 Ho 2.71
S6 0.9188 0.5775 0.7565  2 Sc 2.65-2.66, 3 Er 2.70-2.74, 1 Ho 2.72

=====

No. 2
## HoErSc2S4 (PBE-GGA)

Data for a relaxed structure of HoErSc2S4.

Summary:
SG: No. 10
Total DFT energy (no corrections), eV per atom: -6.70
Formation energy (no corrections), eV/atom: -1.9090

a b c (Å): 6.5591 3.7641 6.5793
angles (deg): 90.00 109.23 90.00
Closest atoms and distances in Å follow each position.
Fractional positions:
Ho1 0.0000 0.0000 0.0000  6 S 2.73
Er1 0.0000 0.5000 0.5000  6 S 2.72
Sc1 0.5000 0.0000 0.5000  6 S 2.63
Sc2 0.5000 0.5000 0.0000  6 S 2.63-2.64
S1 0.2628 0.0000 0.7534  3 Sc 2.63, 2 Er 2.72, 1 Ho 2.73
S2 0.2636 0.5000 0.2555  3 Sc 2.63-2.64, 1 Er 2.72, 2 Ho 2.73
S3 0.7364 0.5000 0.7445  3 Sc 2.63-2.64, 1 Er 2.72, 2 Ho 2.73
S4 0.7372 0.0000 0.2466  3 Sc 2.63, 2 Er 2.72, 1 Ho 2.73

=====

No. 3
## HoEr4ScS8 (PBE-GGA)

Data for a relaxed structure of HoEr4ScS8.

Summary:
SG: No. 160
Total DFT energy (no corrections), eV per atom: -6.36
Formation energy (no corrections), eV/atom: -1.9173

a b c (Å): 7.9215 7.9215 7.9215
angles (deg): 59.97 59.97 59.97
Closest atoms and distances in Å follow each position.
Fractional positions:
Ho1 0.0000 0.0000 0.0000  6 S 2.74-2.75
Er1 0.0001 0.0001 0.5120  6 S 2.73-2.74
Er2 0.0001 0.5120 0.0001  6 S 2.73-2.74
Er3 0.3781 0.3781 0.3781  4 S 2.59
Er4 0.5120 0.0001 0.0001  6 S 2.73-2.74
Sc1 0.6282 0.6282 0.6282  4 S 2.49
S1 0.2432 0.7556 0.7556  1 Sc 2.49, 2 Er 2.73, 1 Ho 2.74
S2 0.2446 0.2446 0.2446  4 Er 2.59-2.74
S3 0.2453 0.2453 0.7781  3 Er 2.59-2.74, 1 Ho 2.75
S4 0.2453 0.7781 0.2453  3 Er 2.59-2.74, 1 Ho 2.75
S5 0.7556 0.2432 0.7556  1 Sc 2.49, 2 Er 2.73, 1 Ho 2.74
S6 0.7556 0.7556 0.2432  1 Sc 2.49, 2 Er 2.73, 1 Ho 2.74
S7 0.7567 0.7567 0.7567  1 Sc 2.49, 3 Er 2.73
S8 0.7781 0.2453 0.2453  3 Er 2.59-2.74, 1 Ho 2.75

=====

No. 4
## Ho4ErSc3S8 (PBE-GGA)

Data for a relaxed structure of Ho4ErSc3S8.

Summary:
SG: No. 166
Total DFT energy (no corrections), eV per atom: -6.60
Formation energy (no corrections), eV/atom: -1.9187

a b c (Å): 7.6260 7.6260 7.6260
angles (deg): 60.04 60.04 60.04
Closest atoms and distances in Å follow each position.
Fractional positions:
Ho1 0.0000 0.0000 0.0000  6 S 2.70
Ho2 0.0000 0.5000 0.5000  6 S 2.75
Ho3 0.5000 0.0000 0.5000  6 S 2.75
Ho4 0.5000 0.5000 0.0000  6 S 2.75
Er1 0.5000 0.5000 0.5000  6 S 2.69
Sc1 0.0000 0.0000 0.5000  6 S 2.65
Sc2 0.0000 0.5000 0.0000  6 S 2.65
Sc3 0.5000 0.0000 0.0000  6 S 2.65
S1 0.2411 0.7494 0.7494  2 Sc 2.65, 1 Er 2.69, 3 Ho 2.70-2.75
S2 0.2453 0.2453 0.2453  3 Sc 2.65, 3 Ho 2.75
S3 0.2506 0.2506 0.7589  2 Sc 2.65, 1 Er 2.69, 3 Ho 2.70-2.75
S4 0.2506 0.7589 0.2506  2 Sc 2.65, 1 Er 2.69, 3 Ho 2.70-2.75
S5 0.7494 0.2411 0.7494  2 Sc 2.65, 1 Er 2.69, 3 Ho 2.70-2.75
S6 0.7494 0.7494 0.2411  2 Sc 2.65, 1 Er 2.69, 3 Ho 2.70-2.75
S7 0.7547 0.7547 0.7547  3 Sc 2.65, 3 Ho 2.75
S8 0.7589 0.2506 0.2506  2 Sc 2.65, 1 Er 2.69, 3 Ho 2.70-2.75

=====

The highest formation energy (no corrections) belongs to which entry? HoErSc2S4